Record 1
Computed, not measured: a relaxed structure of AlCo4Ag at the PBE level of DFT.

a = 4.7727 Å, b = 4.7727 Å, c = 4.7727 Å
α = 60.00°, β = 60.00°, γ = 60.00°
Closest atoms and distances in Å follow each position.
Fractional positions:
Co  0.8762  0.3746  0.3746  6 Co 2.38-2.39
Co  0.3746  0.8762  0.3746  6 Co 2.38-2.39
Co  0.3746  0.3746  0.8762  6 Co 2.38-2.39
Al  0.0000  0.0000  0.0000  12 Co 2.80, 4 Ag 2.92
Ag  0.7500  0.7500  0.7500  12 Co 2.80, 4 Al 2.92
Co  0.3746  0.3746  0.3746  6 Co 2.38-2.39

Calculated values
Calculated formation energy   99 meV/atom

Record 2
Computed, not measured: a relaxed structure of In2HIN at the PBE level of DFT.

a = 4.8615 Å, b = 4.9480 Å, c = 4.8615 Å
α = 90.00°, β = 90.00°, γ = 90.00°
Closest atoms and distances in Å follow each position.
Fractional positions:
In  0.5000  0.0000  0.0000  2 N 2.43
H  0.5000  0.5000  0.5000  4 I 3.44, 8 In 3.47
N  0.0000  0.0000  0.0000  4 In 2.43, 2 I 2.47
I  0.0000  0.5000  0.0000  2 N 2.47
In  0.0000  0.0000  0.5000  2 N 2.43

Calculated values
Raw total energy   -2.850 eV per atom

Record 3
Computed, not measured: a relaxed structure of Li2TiAgF8 at the PBE level of DFT.

a = 4.7114 Å, b = 4.7041 Å, c = 6.7368 Å
α = 90.00°, β = 90.00°, γ = 90.82°
Closest atoms and distances in Å follow each position.
Fractional positions:
Li  0.5000  0.5000  0.7437  6 F 2.06-2.24
F  0.1968  0.8014  0.2036  1 Ti 1.91, 1 Li 2.06
Ag  0.0000  0.0000  0.5000  2 F 2.05
F  0.8032  0.1985  0.2036  1 Ti 1.91, 1 Li 2.06
Ti  0.0000  0.0000  0.0000  6 F 1.87-1.91
F  0.6886  0.6896  0.5000  1 Ag 2.05, 2 Li 2.06
Li  0.5000  0.5000  0.2563  6 F 2.06-2.24
F  0.7156  0.7171  0.0000  1 Ti 1.87
F  0.1968  0.8015  0.7964  1 Ti 1.91, 1 Li 2.06
F  0.8032  0.1986  0.7964  1 Ti 1.91, 1 Li 2.06
F  0.2844  0.2829  0.0000  1 Ti 1.87
F  0.3114  0.3104  0.5000  1 Ag 2.05, 2 Li 2.06

Calculated values
Raw formation energy   -61.7 kcal/mol of atoms

Record 4
Computed, not measured: a relaxed structure of USeI2 at the PBE level of DFT.

a = 3.8990 Å, b = 7.0725 Å, c = 7.0725 Å
α = 61.60°, β = 74.00°, γ = 74.00°
Closest atoms and distances in Å follow each position.
Fractional positions:
Se  0.2500  0.1681  0.3319  2 U 2.72
U  0.7500  0.9055  0.5945  2 Se 2.72
I  0.0770  0.8862  0.9598  2 U 3.11-3.12
I  0.4230  0.5402  0.6138  2 U 3.12

Calculated values
Polymorph energy (0 for the lowest one)   1.5 kJ per mole of atoms
Raw formation energy   -18.7 kcal/mol of atoms

Record 5
Computed, not measured: a relaxed structure of Pa2Co12P3Ir at the PBE level of DFT.

a = 6.2206 Å, b = 6.2206 Å, c = 6.2206 Å
α = 82.32°, β = 82.32°, γ = 82.32°
Closest atoms and distances in Å follow each position.
Fractional positions:
Co  0.1858  0.1858  0.6624  1 P 2.16, 1 Pa 2.27
Co  0.6624  0.1858  0.1858  1 P 2.16, 1 Pa 2.27
P  0.0000  0.5000  0.0000  6 Co 2.16-2.38
Co  0.6273  0.6273  0.1027  2 P 2.38, 1 Co 2.47
Co  0.8973  0.3727  0.3727  2 P 2.38, 1 Co 2.47
Co  0.1858  0.6624  0.1858  1 P 2.16, 1 Pa 2.27
P  0.5000  0.0000  0.0000  6 Co 2.16-2.38
Co  0.8142  0.8142  0.3376  1 P 2.16, 1 Pa 2.27
Pa  0.6351  0.6351  0.6351  3 Co 2.27
Co  0.8142  0.3376  0.8142  1 P 2.16, 1 Pa 2.27
Co  0.1027  0.6273  0.6273  2 P 2.38, 1 Co 2.47
P  0.0000  0.0000  0.5000  6 Co 2.16-2.38
Co  0.3727  0.3727  0.8973  2 P 2.38, 1 Co 2.47
Co  0.3376  0.8142  0.8142  1 P 2.16, 1 Pa 2.27
Pa  0.3649  0.3649  0.3649  3 Co 2.27
Co  0.6273  0.1027  0.6273  2 P 2.38, 1 Co 2.47
Ir  0.0000  0.0000  0.0000  6 Co 2.48
Co  0.3727  0.8973  0.3727  2 P 2.38, 1 Co 2.47

Calculated values
Calculated formation energy   -12 meV/atom

Record 6
Computed, not measured: a relaxed structure of RbTe4 at the PBE level of DFT.

a = 8.7591 Å, b = 5.1702 Å, c = 10.7151 Å
α = 111.68°, β = 90.00°, γ = 90.00°
Closest atoms and distances in Å follow each position.
Fractional positions:
Rb  0.0000  0.0000  0.0000  10 Te 3.88-4.32
Te  0.8555  0.7208  0.2735  2 Te 2.87-2.89
Te  0.8919  0.4345  0.5985  3 Te 2.87-3.09
Te  0.6445  0.7208  0.7735  2 Te 2.87-2.89
Te  0.1081  0.5655  0.4015  3 Te 2.87-3.09
Te  0.6081  0.4345  0.0985  3 Te 2.87-3.09
Te  0.3919  0.5655  0.9015  3 Te 2.87-3.09
Te  0.1445  0.2792  0.7265  2 Te 2.87-2.89
Te  0.3555  0.2792  0.2265  2 Te 2.87-2.89
Rb  0.5000  0.0000  0.5000  10 Te 3.88-4.32

Calculated values
Polymorph energy (0 for the lowest one)   0.0 kJ per mole of atoms
Raw formation energy   -6.3 kcal/mol of atoms

Record 7
Computed, not measured: a relaxed structure of Tb7DyTm2 at the PBE level of DFT.

a = 5.4134 Å, b = 9.3303 Å, c = 9.3304 Å
α = 124.47°, β = 90.00°, γ = 90.00°
Closest atoms and distances in Å follow each position.
Fractional positions:
Tb  0.5000  0.9343  0.7098  2 Tb 3.09-3.36, 2 Tm 3.18-3.42
Tb  0.5000  0.2902  0.0657  2 Tb 3.09-3.36, 2 Tm 3.18-3.42
Dy  0.0000  0.0000  0.0000  10 Tb 3.40-3.63
Tb  0.5000  0.7098  0.9343  2 Tb 3.09-3.36, 2 Tm 3.18-3.42
Tb  0.0000  0.2060  0.7940  2 Tm 3.10, 1 Dy 3.40
Tm  0.5000  0.7031  0.2969  7 Tb 3.10-3.42
Tb  0.5000  0.5000  0.5000  2 Tm 3.35, 4 Tb 3.36
Tb  0.0000  0.7940  0.2060  2 Tm 3.10, 1 Dy 3.40
Tm  0.5000  0.2969  0.7031  7 Tb 3.10-3.42
Tb  0.5000  0.0657  0.2902  2 Tb 3.09-3.36, 2 Tm 3.18-3.42

Calculated values
Polymorph energy (0 for the lowest one)   64.9 kJ per mole of atoms
Calculated formation energy   690 meV/atom

Record 8
Computed, not measured: a relaxed structure of ScCoHg2 at the PBE level of DFT.

a = 8.8675 Å, b = 8.8675 Å, c = 8.8675 Å
α = 21.23°, β = 21.23°, γ = 21.23°
Closest atoms and distances in Å follow each position.
Fractional positions:
Co  0.7500  0.7500  0.7500  6 Hg 2.74
Hg  0.0068  0.0068  0.0068  3 Co 2.74, 3 Sc 3.01
Sc  0.2500  0.2500  0.2500  6 Hg 3.01, 6 Sc 3.27
Hg  0.4932  0.4932  0.4932  3 Co 2.74, 3 Sc 3.01

Calculated values
Calculated formation energy   217 meV/atom

Record 9
Computed, not measured: a relaxed structure of ZrCo2N at the PBE level of DFT.

a = 5.3477 Å, b = 5.3477 Å, c = 5.4360 Å
α = 60.54°, β = 60.54°, γ = 90.00°
Closest atoms and distances in Å follow each position.
Fractional positions:
N  0.5000  0.5000  0.0000  4 Co 1.77
Zr  0.0000  0.0000  0.0000  4 Co 2.64
Zr  0.7500  0.2500  0.5000  4 Co 2.64
N  0.2500  0.7500  0.5000  4 Co 1.77
Co  0.8750  0.7406  0.7500  2 N 1.77
Co  0.3750  0.5094  0.7500  2 N 1.77
Co  0.4906  0.1250  0.2500  2 N 1.77
Co  0.2594  0.6250  0.2500  2 N 1.77

Calculated values
Raw formation energy   -0.7 kcal/mol of atoms

Record 10
Computed, not measured: a relaxed structure of CaAlAs2 at the PBE level of DFT.

a = 4.6327 Å, b = 4.6327 Å, c = 3.8362 Å
α = 90.00°, β = 90.00°, γ = 90.22°
Closest atoms and distances in Å follow each position.
Fractional positions:
As  0.5000  0.5000  0.0000  4 Al 3.01, 4 Ca 3.01, 4 As 3.27-3.28
Al  0.0000  0.5000  0.5000  8 As 3.01, 4 Ca 3.27-3.28
Ca  0.5000  0.0000  0.5000  8 As 3.01, 4 Al 3.27-3.28
As  0.0000  0.0000  0.0000  4 Ca 3.01, 4 Al 3.01, 4 As 3.27-3.28

Calculated values
Polymorph energy (0 for the lowest one)   21.9 kJ per mole of atoms
Calculated formation energy   -390 meV/atom

Record 11
Computed, not measured: a relaxed structure of TcBr2O2 at the PBE level of DFT.

a = 5.4652 Å, b = 11.1598 Å, c = 12.5085 Å
α = 146.56°, β = 129.71°, γ = 62.79°
Closest atoms and distances in Å follow each position.
Fractional positions:
O  0.1549  0.1469  0.2004  2 Tc 1.93
Br  0.4879  0.0980  0.7313  1 Tc 2.43
Tc  0.9843  0.1542  0.0150  1 O 1.68
O  0.8451  0.8531  0.7996  2 Tc 1.93
Br  0.5121  0.9020  0.2687  1 Tc 2.43
O  0.2844  0.1672  0.0181  1 Tc 1.68
Br  0.9387  0.5324  0.3233  1 Tc 2.42
O  0.7156  0.8328  0.9819  1 Tc 1.68
Tc  0.0157  0.8458  0.9850  1 O 1.68
Br  0.0613  0.4676  0.6767  1 Tc 2.42

Calculated values
Polymorph energy (0 for the lowest one)   0.0 kJ per mole of atoms
Raw formation energy   -18.8 kcal/mol of atoms

Record 12
Computed, not measured: a relaxed structure of TmHg2Sb at the PBE level of DFT.

a = 5.0759 Å, b = 4.4156 Å, c = 4.4156 Å
α = 90.00°, β = 90.00°, γ = 90.00°
Closest atoms and distances in Å follow each position.
Fractional positions:
Sb  0.5000  0.5000  0.5000  4 Tm 3.12, 8 Hg 3.36
Hg  0.0000  0.0000  0.5000  4 Hg 3.12, 4 Sb 3.36, 4 Tm 3.36
Hg  0.0000  0.5000  0.0000  4 Hg 3.12, 4 Tm 3.36, 4 Sb 3.36
Tm  0.5000  0.0000  0.0000  4 Sb 3.12, 8 Hg 3.36

Calculated values
Raw formation energy   -9.5 kcal/mol of atoms